An optimized crystal structure of La2PaV2N7, computed with PBE.

Computed properties:
Crystal system: monoclinic
Formation energy from raw total energies (eV per atom): -1.141
Calculated total energy (eV/atom): -9.1299

```
La2PaV2N7
1.0
-0.498 -0.679 3.775
3.790 0.474 0.608
0.011 9.788 3.578
La Pa V N
2 1 2 7
direct
0.799 0.799 0.366 La
0.201 0.201 0.634 La
0.000 0.000 0.000 Pa
0.626 0.626 0.808 V
0.374 0.374 0.192 V
0.500 0.500 0.000 N
0.321 0.321 0.387 N
0.679 0.679 0.613 N
0.917 0.422 0.173 N
0.422 0.917 0.173 N
0.578 0.083 0.827 N
0.083 0.578 0.827 N
```

An optimized crystal structure of La2PaWN5, computed with PBE.

Computed properties:
Crystal system: tetragonal
Formation energy from raw total energies (eV per atom): -1.259
Calculated total energy (eV/atom): -9.4737

```
La2PaWN5
1.0
3.947 0.000 0.000
0.000 3.947 0.000
0.000 0.000 8.676
La Pa W N
2 1 1 5
direct
0.500 0.500 0.291 La
0.500 0.500 0.709 La
0.000 0.000 0.000 Pa
0.000 0.000 0.500 W
0.000 0.500 0.500 N
0.500 0.000 0.500 N
0.000 0.000 0.759 N
0.000 0.000 0.241 N
0.500 0.500 0.000 N
```

An optimized crystal structure of La3YPa2N6, computed with PBE.

Computed properties:
Crystal system: monoclinic
Formation energy from raw total energies (eV per atom): -1.578
Calculated total energy (eV/atom): -9.0938

```
La3YPa2N6
1.0
-2.778 -5.224 1.833
4.837 -0.252 -3.861
3.044 1.488 5.370
La Y Pa N
3 1 2 6
direct
0.166 0.834 0.500 La
0.834 0.166 0.500 La
0.500 0.500 0.500 La
0.000 0.000 0.000 Y
0.333 0.667 0.000 Pa
0.667 0.333 0.000 Pa
0.930 0.583 0.792 N
0.722 0.722 0.207 N
0.070 0.417 0.208 N
0.583 0.930 0.792 N
0.278 0.278 0.793 N
0.417 0.070 0.208 N
```

An optimized crystal structure of LaYPaN3, computed with PBE.

Computed properties:
Crystal system: monoclinic
Formation energy from raw total energies (eV per atom): -1.417
Calculated total energy (eV/atom): -9.0608

```
LaYPaN3
1.0
3.584 0.000 0.000
0.000 6.090 0.245
0.000 -2.249 9.024
La Y Pa N
2 2 2 6
direct
0.750 0.657 0.699 La
0.250 0.343 0.301 La
0.250 0.764 0.040 Y
0.750 0.236 0.960 Y
0.250 0.140 0.652 Pa
0.750 0.860 0.348 Pa
0.250 0.777 0.495 N
0.750 0.036 0.157 N
0.750 0.550 0.166 N
0.750 0.223 0.505 N
0.250 0.450 0.834 N
0.250 0.964 0.843 N
```

An optimized crystal structure of LaY2PaN4, computed with PBE.

Computed properties:
Crystal system: monoclinic
Formation energy from raw total energies (eV per atom): -1.581
Calculated total energy (eV/atom): -9.1629

```
LaY2PaN4
1.0
-0.475 -0.113 -3.520
6.073 -0.888 -0.791
-2.767 -5.403 0.547
La Y Pa N
1 2 1 4
direct
0.500 0.500 0.000 La
0.500 0.000 0.500 Y
0.000 0.500 0.500 Y
0.000 0.000 0.000 Pa
0.500 0.231 0.245 N
0.500 0.769 0.755 N
0.000 0.221 0.752 N
0.000 0.779 0.248 N
```

An optimized crystal structure of La4YPa3N8, computed with PBE.

Computed properties:
Crystal system: trigonal
Formation energy from raw total energies (eV per atom): -1.574
Calculated total energy (eV/atom): -9.1532

```
La4YPa3N8
1.0
-7.073 -1.018 0.459
0.709 -1.754 7.035
2.572 6.258 -2.343
La Y Pa N
4 1 3 8
direct
0.500 0.000 0.000 La
0.500 0.000 0.500 La
0.000 0.000 0.000 La
0.000 0.000 0.500 La
0.000 0.500 0.000 Y
0.500 0.500 0.000 Pa
0.500 0.500 0.500 Pa
0.000 0.500 0.500 Pa
0.242 0.706 0.964 N
0.242 0.706 0.483 N
0.266 0.298 0.532 N
0.722 0.706 0.964 N
0.278 0.294 0.036 N
0.734 0.702 0.468 N
0.758 0.294 0.517 N
0.758 0.294 0.036 N
```

> What is the formula in the fifth record?

LaY2PaN4